Version i
Below is a geometry-optimized MgAlSi structure, with properties calculated at the GGA-PBE level.

Its crystal system is orthorhombic. The calculation puts the total magnetization at 0.0000 μB per atom.

Unit cell a=3.924 b=4.268 c=12.461 alpha=90.00 beta=90.00 gamma=90.00
Positions (direct):
Mg  0.000  0.000  0.000
Mg  0.000  0.500  0.500
Mg  0.500  0.000  0.500
Mg  0.500  0.500  0.000
Al  0.000  0.000  0.321
Al  0.000  0.500  0.821
Al  0.500  0.000  0.821
Al  0.500  0.500  0.321
Si  0.000  0.000  0.668
Si  0.000  0.500  0.168
Si  0.500  0.000  0.168
Si  0.500  0.500  0.668


Version ii
Below is a geometry-optimized MgAlSi structure, with properties calculated at the GGA-PBE level.

Its crystal system is cubic. The calculation puts the total magnetization at 0.0000 μB per atom.

Unit cell a=6.212 b=6.212 c=6.212 alpha=90.00 beta=90.00 gamma=90.00
Positions (direct):
Mg  0.000  0.000  0.000
Mg  0.000  0.500  0.500
Mg  0.500  0.000  0.500
Mg  0.500  0.500  0.000
Al  0.000  0.000  0.500
Al  0.000  0.500  0.000
Al  0.500  0.000  0.000
Al  0.500  0.500  0.500
Si  0.250  0.250  0.750
Si  0.250  0.750  0.250
Si  0.750  0.250  0.250
Si  0.750  0.750  0.750


Version iii
Below is a geometry-optimized MgAlSi structure, with properties calculated at the GGA-PBE level.

Its crystal system is orthorhombic. The calculation puts the total magnetization at 0.0000 μB per atom.

Unit cell a=6.593 b=4.117 c=7.913 alpha=90.00 beta=90.00 gamma=90.00
Positions (direct):
Mg  0.033  0.250  0.174
Mg  0.467  0.750  0.674
Mg  0.533  0.250  0.326
Mg  0.967  0.750  0.826
Al  0.141  0.250  0.565
Al  0.359  0.750  0.065
Al  0.641  0.250  0.935
Al  0.859  0.750  0.435
Si  0.238  0.750  0.379
Si  0.262  0.250  0.879
Si  0.738  0.750  0.121
Si  0.762  0.250  0.621


Version iv
Below is a geometry-optimized MgAlSi structure, with properties calculated at the GGA-PBE level.

Its crystal system is triclinic. The calculation puts the total magnetization at 0.0000 μB per atom.

Unit cell a=4.148 b=5.375 c=5.728 alpha=73.19 beta=69.29 gamma=68.28
Positions (direct):
Mg  0.074  0.175  0.177
Mg  0.926  0.825  0.823
Al  0.336  0.246  0.583
Al  0.664  0.754  0.417
Si  0.347  0.615  0.182
Si  0.653  0.385  0.818


The structure with the greatest stability is version iii.


Version i
Below is a geometry-optimized MgAlSi structure, with properties calculated at the GGA-PBE level.

Its crystal system is hexagonal. The calculation puts the total magnetization at 0.0000 μB per atom.

Unit cell a=4.663 b=4.663 c=2.766 alpha=90.00 beta=90.00 gamma=120.00
Positions (direct):
Mg  0.000  0.000  0.000
Al  0.333  0.667  0.500
Si  0.667  0.333  0.500


Version ii
Below is a geometry-optimized MgAlSi structure, with properties calculated at the GGA-PBE level.

Its crystal system is cubic. The calculation puts the total magnetization at 0.0000 μB per atom.

Unit cell a=6.268 b=6.268 c=6.268 alpha=90.00 beta=90.00 gamma=90.00
Positions (direct):
Mg  0.000  0.000  0.000
Mg  0.000  0.500  0.500
Mg  0.500  0.000  0.500
Mg  0.500  0.500  0.000
Al  0.250  0.250  0.750
Al  0.250  0.750  0.250
Al  0.750  0.250  0.250
Al  0.750  0.750  0.750
Si  0.250  0.250  0.250
Si  0.250  0.750  0.750
Si  0.750  0.250  0.750
Si  0.750  0.750  0.250


The structure with the greatest stability is version i.


Version i
Below is a geometry-optimized MgAlSi structure, with properties calculated at the GGA-PBE level.

Its crystal system is orthorhombic. The calculation puts the total magnetization at 0.0000 μB per atom.

Unit cell a=3.038 b=3.699 c=9.469 alpha=90.00 beta=90.00 gamma=90.00
Positions (direct):
Mg  0.000  0.000  0.000
Mg  0.500  0.500  0.500
Al  0.000  0.000  0.310
Al  0.500  0.500  0.810
Si  0.000  0.000  0.679
Si  0.500  0.500  0.179


Version ii
Below is a geometry-optimized MgAlSi structure, with properties calculated at the GGA-PBE level.

Its crystal system is triclinic. The calculation puts the total magnetization at 0.0000 μB per atom.

Unit cell a=3.963 b=4.898 c=6.886 alpha=80.86 beta=89.10 gamma=67.08
Positions (direct):
Mg  0.000  0.000  0.000
Mg  0.312  0.383  0.270
Al  0.245  0.505  0.726
Al  0.518  0.965  0.628
Si  0.043  0.923  0.410
Si  0.697  0.594  0.954


Version iii
Below is a geometry-optimized MgAlSi structure, with properties calculated at the GGA-PBE level.

Its crystal system is tetragonal. The calculation puts the total magnetization at 0.0000 μB per atom.

Unit cell a=4.458 b=4.458 c=6.048 alpha=90.00 beta=90.00 gamma=90.00
Positions (direct):
Mg  0.250  0.750  0.000
Mg  0.750  0.250  0.000
Al  0.250  0.750  0.500
Al  0.750  0.250  0.500
Si  0.250  0.250  0.275
Si  0.750  0.750  0.725


Version iv
Below is a geometry-optimized MgAlSi structure, with properties calculated at the GGA-PBE level.

Its crystal system is tetragonal. The calculation puts the total magnetization at 0.0000 μB per atom.

Unit cell a=4.021 b=4.021 c=6.771 alpha=90.00 beta=90.00 gamma=90.00
Positions (direct):
Mg  0.250  0.250  0.145
Mg  0.750  0.750  0.855
Al  0.250  0.750  0.500
Al  0.750  0.250  0.500
Si  0.250  0.250  0.743
Si  0.750  0.750  0.257


The structure with the greatest stability is version iv.


Version i
Below is a geometry-optimized Mg6AlSi structure, with properties calculated at the GGA-PBE level.

Its crystal system is orthorhombic. The calculation puts the total magnetization at 0.0000 μB per atom.

Unit cell a=4.890 b=6.198 c=10.827 alpha=90.00 beta=90.00 gamma=90.00
Positions (direct):
Mg  0.000  0.000  0.000
Mg  0.000  0.242  0.255
Mg  0.000  0.258  0.755
Mg  0.000  0.500  0.500
Mg  0.000  0.742  0.755
Mg  0.000  0.758  0.255
Mg  0.500  0.000  0.831
Mg  0.500  0.245  0.577
Mg  0.500  0.255  0.077
Mg  0.500  0.500  0.331
Mg  0.500  0.745  0.077
Mg  0.500  0.755  0.577
Al  0.000  0.000  0.507
Al  0.000  0.500  0.007
Si  0.500  0.000  0.326
Si  0.500  0.500  0.826


Version ii
Below is a geometry-optimized Mg6AlSi structure, with properties calculated at the GGA-PBE level.

Its crystal system is orthorhombic. The calculation puts the total magnetization at 0.0000 μB per atom.

Unit cell a=4.877 b=6.320 c=10.617 alpha=90.00 beta=90.00 gamma=90.00
Positions (direct):
Mg  0.000  0.000  0.000
Mg  0.000  0.000  0.500
Mg  0.000  0.250  0.256
Mg  0.000  0.250  0.756
Mg  0.000  0.500  0.000
Mg  0.000  0.500  0.500
Mg  0.000  0.750  0.256
Mg  0.000  0.750  0.756
Mg  0.500  0.250  0.085
Mg  0.500  0.250  0.585
Mg  0.500  0.750  0.085
Mg  0.500  0.750  0.585
Al  0.500  0.000  0.336
Al  0.500  0.500  0.836
Si  0.500  0.000  0.837
Si  0.500  0.500  0.337


The structure with the greatest stability is version ii.


Version i
Below is a geometry-optimized MgAlSi2 structure, with properties calculated at the GGA-PBE level.

Its crystal system is cubic. The calculation puts the total magnetization at 0.0000 μB per atom.

Unit cell a=6.460 b=6.460 c=6.460 alpha=90.00 beta=90.00 gamma=90.00
Positions (direct):
Mg  0.000  0.000  0.000
Mg  0.000  0.500  0.500
Mg  0.500  0.000  0.500
Mg  0.500  0.500  0.000
Al  0.250  0.250  0.750
Al  0.250  0.750  0.250
Al  0.750  0.250  0.250
Al  0.750  0.750  0.750
Si  0.000  0.000  0.500
Si  0.000  0.500  0.000
Si  0.250  0.250  0.250
Si  0.250  0.750  0.750
Si  0.500  0.000  0.000
Si  0.500  0.500  0.500
Si  0.750  0.250  0.750
Si  0.750  0.750  0.250


Version ii
Below is a geometry-optimized MgAlSi2 structure, with properties calculated at the GGA-PBE level.

Its crystal system is cubic. The calculation puts the total magnetization at 0.0000 μB per atom.

Unit cell a=6.459 b=6.459 c=6.459 alpha=90.00 beta=90.00 gamma=90.00
Positions (direct):
Mg  0.000  0.000  0.000
Mg  0.000  0.500  0.500
Mg  0.500  0.000  0.500
Mg  0.500  0.500  0.000
Al  0.000  0.000  0.500
Al  0.000  0.500  0.000
Al  0.500  0.000  0.000
Al  0.500  0.500  0.500
Si  0.250  0.250  0.250
Si  0.250  0.250  0.750
Si  0.250  0.750  0.250
Si  0.250  0.750  0.750
Si  0.750  0.250  0.250
Si  0.750  0.250  0.750
Si  0.750  0.750  0.250
Si  0.750  0.750  0.750


The structure with the greatest stability is version ii.


Version i
Below is a geometry-optimized MgAlSi2 structure, with properties calculated at the GGA-PBE level.

Its crystal system is tetragonal. The calculation puts the total magnetization at 0.0000 μB per atom.

Unit cell a=2.891 b=2.891 c=7.957 alpha=90.00 beta=90.00 gamma=90.00
Positions (direct):
Mg  0.000  0.000  0.000
Al  0.500  0.500  0.724
Si  0.000  0.000  0.485
Si  0.500  0.500  0.258


Version ii
Below is a geometry-optimized MgAlSi2 structure, with properties calculated at the GGA-PBE level.

Its crystal system is orthorhombic. The calculation puts the total magnetization at 0.0000 μB per atom.

Unit cell a=3.906 b=4.297 c=7.860 alpha=90.00 beta=90.00 gamma=90.00
Positions (direct):
Mg  0.000  0.000  0.000
Mg  0.500  0.500  0.500
Al  0.000  0.000  0.500
Al  0.500  0.500  0.000
Si  0.000  0.500  0.247
Si  0.000  0.500  0.753
Si  0.500  0.000  0.253
Si  0.500  0.000  0.747


The structure with the greatest stability is version ii.


Version i
Below is a geometry-optimized MgAlSi2 structure, with properties calculated at the GGA-PBE level.

Its crystal system is orthorhombic. The calculation puts the total magnetization at 0.0000 μB per atom.

Unit cell a=2.761 b=4.481 c=5.391 alpha=90.00 beta=90.00 gamma=90.00
Positions (direct):
Mg  0.000  0.000  0.000
Al  0.500  0.500  0.254
Si  0.500  0.000  0.515
Si  0.500  0.500  0.754


Version ii
Below is a geometry-optimized MgAlSi2 structure, with properties calculated at the GGA-PBE level.

Its crystal system is orthorhombic. The calculation puts the total magnetization at 0.0000 μB per atom.

Unit cell a=3.824 b=4.045 c=4.254 alpha=90.00 beta=90.00 gamma=90.00
Positions (direct):
Mg  0.000  0.000  0.000
Al  0.000  0.500  0.500
Si  0.500  0.000  0.500
Si  0.500  0.500  0.000


Version iii
Below is a geometry-optimized MgAlSi2 structure, with properties calculated at the GGA-PBE level.

Its crystal system is orthorhombic. The calculation puts the total magnetization at 0.0000 μB per atom.

Unit cell a=2.898 b=4.172 c=5.539 alpha=90.00 beta=90.00 gamma=90.00
Positions (direct):
Mg  0.000  0.000  0.000
Al  0.500  0.500  0.699
Si  0.000  0.000  0.500
Si  0.500  0.500  0.223


Version iv
Below is a geometry-optimized MgAlSi2 structure, with properties calculated at the GGA-PBE level.

Its crystal system is monoclinic. The calculation puts the total magnetization at 0.0000 μB per atom.

Unit cell a=9.515 b=3.226 c=4.698 alpha=90.00 beta=109.67 gamma=90.00
Positions (direct):
Mg  0.000  0.000  0.000
Mg  0.500  0.500  0.000
Al  0.287  0.500  0.339
Al  0.787  0.000  0.339
Si  0.045  0.500  0.518
Si  0.241  0.000  0.813
Si  0.545  0.000  0.518
Si  0.741  0.500  0.813


The structure with the greatest stability is version iv.


Version i
Below is a geometry-optimized Mg2Al3Si6 structure, with properties calculated at the GGA-PBE level.

Its crystal system is monoclinic. The calculation puts the total magnetization at 0.0000 μB per atom.

Unit cell a=7.751 b=7.751 c=6.510 alpha=104.00 beta=104.00 gamma=28.61
Positions (direct):
Mg  0.172  0.172  0.431
Mg  0.828  0.828  0.569
Al  0.000  0.000  0.500
Al  0.090  0.090  0.967
Al  0.910  0.910  0.033
Si  0.291  0.291  0.840
Si  0.343  0.343  0.238
Si  0.470  0.470  0.780
Si  0.530  0.530  0.220
Si  0.657  0.657  0.762
Si  0.709  0.709  0.160


Version ii
Below is a geometry-optimized Mg2Al3Si6 structure, with properties calculated at the GGA-PBE level.

Its crystal system is monoclinic. The calculation puts the total magnetization at 0.0000 μB per atom.

Unit cell a=8.481 b=8.481 c=6.742 alpha=90.74 beta=90.74 gamma=23.26
Positions (direct):
Mg  0.167  0.167  0.015
Mg  0.833  0.833  0.985
Al  0.000  0.000  0.000
Al  0.070  0.070  0.613
Al  0.930  0.930  0.387
Si  0.302  0.302  0.299
Si  0.303  0.303  0.656
Si  0.447  0.447  0.730
Si  0.553  0.553  0.270
Si  0.697  0.697  0.344
Si  0.698  0.698  0.701


The structure with the greatest stability is version ii.


Version i
Below is a geometry-optimized Sm4MgAl2 structure, with properties calculated at the GGA-PBE level.

Its crystal system is monoclinic. The calculation puts the total magnetization at 0.0000 μB per atom.

Unit cell a=7.901 b=6.466 c=8.487 alpha=90.00 beta=112.29 gamma=90.00
Positions (direct):
Sm  0.013  0.250  0.385
Sm  0.187  0.750  0.327
Sm  0.397  0.010  0.754
Sm  0.397  0.490  0.754
Sm  0.603  0.510  0.246
Sm  0.603  0.990  0.246
Sm  0.813  0.250  0.673
Sm  0.987  0.750  0.615
Mg  0.183  0.250  0.053
Mg  0.817  0.750  0.947
Al  0.241  0.750  0.993
Al  0.398  0.250  0.424
Al  0.602  0.750  0.576
Al  0.759  0.250  0.007


Version ii
Below is a geometry-optimized Sm4MgAl2 structure, with properties calculated at the GGA-PBE level.

Its crystal system is trigonal. The calculation puts the total magnetization at 0.0000 μB per atom.

Unit cell a=8.885 b=8.885 c=8.885 alpha=34.20 beta=34.20 gamma=34.20
Positions (direct):
Sm  0.115  0.115  0.115
Sm  0.368  0.368  0.368
Sm  0.632  0.632  0.632
Sm  0.885  0.885  0.885
Mg  0.500  0.500  0.500
Al  0.243  0.243  0.243
Al  0.757  0.757  0.757


The structure with the greatest stability is version ii.


Version i
Below is a geometry-optimized Mg2AlSn2 structure, with properties calculated at the GGA-PBE level.

Its crystal system is tetragonal. The calculation puts the total magnetization at 0.0000 μB per atom.

Unit cell a=8.675 b=8.675 c=3.184 alpha=90.00 beta=90.00 gamma=90.00
Positions (direct):
Mg  0.132  0.368  0.000
Mg  0.368  0.868  0.000
Mg  0.632  0.132  0.000
Mg  0.868  0.632  0.000
Al  0.000  0.000  0.500
Al  0.500  0.500  0.500
Sn  0.167  0.667  0.500
Sn  0.333  0.167  0.500
Sn  0.667  0.833  0.500
Sn  0.833  0.333  0.500


Version ii
Below is a geometry-optimized Mg2AlSn2 structure, with properties calculated at the GGA-PBE level.

Its crystal system is tetragonal. The calculation puts the total magnetization at 0.0000 μB per atom.

Unit cell a=4.698 b=4.698 c=12.277 alpha=90.00 beta=90.00 gamma=90.00
Positions (direct):
Mg  0.000  0.500  0.250
Mg  0.000  0.500  0.750
Mg  0.500  0.000  0.250
Mg  0.500  0.000  0.750
Al  0.000  0.000  0.000
Al  0.500  0.500  0.500
Sn  0.000  0.000  0.388
Sn  0.000  0.000  0.612
Sn  0.500  0.500  0.112
Sn  0.500  0.500  0.888


The structure with the greatest stability is version i.